Record 1
VASP calculation (meta-GGA SCAN) on a PBEsol-optimized structure of AlNiPb.

a = 3.806 Å, b = 4.098 Å, c = 4.098 Å
α = 120.00°, β = 90.00°, γ = 90.00°
Fractional coordinates of all 3 atoms:
Al: 0.835 0.000 0.000
Ni: 0.831 0.667 0.333
Pb: 0.334 0.333 0.667

- ΔH_f (0 K) (eV/atom) = 0.141
- V (Å³/atom) = 18.45

***

Record 2
VASP calculation (meta-GGA SCAN) on a PBEsol-optimized structure of Ca2MgZr.

a = 3.358 Å, b = 5.924 Å, c = 6.466 Å
α = 110.08°, β = 105.05°, γ = 90.00°
Each line ends with the local moment (μB).
Fractional coordinates of all 4 atoms:
Ca: 0.231 0.685 0.462  0.08
Ca: 0.015 0.062 0.029  0.05
Mg: 0.480 0.537 0.959  0.01
Zr: 0.775 0.216 0.549  0.92

- ΔH_f (0 K) (eV/atom) = 0.254
- V (Å³/atom) = 29.02

***

Record 3
VASP calculation (meta-GGA SCAN) on a PBEsol-optimized structure of SrLi2Si.

a = 4.984 Å, b = 4.984 Å, c = 4.984 Å
α = 60.00°, β = 60.00°, γ = 60.00°
Fractional coordinates of all 4 atoms:
Sr: 0.250 0.250 0.250
Li: 0.750 0.750 0.750
Si: 0.500 0.500 0.500
Li: 0.000 0.000 0.000

- formation energy from raw total energies (meV/atom) = -175
- V (Å³/atom) = 21.88

***

Record 4
VASP calculation (meta-GGA SCAN) on a PBEsol-optimized structure of TlBSe2.

a = 6.102 Å, b = 6.102 Å, c = 6.102 Å
α = 100.82°, β = 113.96°, γ = 113.96°
Fractional coordinates of all 8 atoms:
Se: 0.624 0.375 0.499
Tl: 0.000 0.000 0.000
Tl: 0.500 0.750 0.250
Se: 0.376 0.875 0.751
B: 0.500 0.250 0.750
B: 0.000 0.500 0.500
Se: 0.876 0.501 0.125
Se: 0.124 0.249 0.625

- formation energy from raw total energies (meV/atom) = -173
- V (Å³/atom) = 21.49

***

Record 5
VASP calculation (meta-GGA SCAN) on a PBEsol-optimized structure of SrCr2Ni.

a = 2.966 Å, b = 2.966 Å, c = 8.489 Å
α = 79.94°, β = 79.94°, γ = 60.00°
Fractional coordinates of all 4 atoms:
Ni: 0.483 0.483 0.550
Cr: 0.023 0.023 0.932
Cr: 0.747 0.747 0.758
Sr: 0.247 0.247 0.259

- offset from the most stable computed form (kJ/mol of formula units) = 68
- ΔH_f (0 K) (eV/atom) = 0.993
- V (Å³/atom) = 15.84

***

Record 6
VASP calculation (meta-GGA SCAN) on a PBEsol-optimized structure of La2TlSi.

a = 3.894 Å, b = 3.894 Å, c = 7.063 Å
α = 90.00°, β = 90.03°, γ = 90.00°
Fractional coordinates of all 4 atoms:
La: 0.999 0.000 0.214
Tl: 0.500 0.500 0.500
Si: 0.500 0.500 0.000
La: 0.001 0.000 0.786

- formation energy from raw total energies (meV/atom) = -610
- V (Å³/atom) = 26.77

***

Record 7
VASP calculation (meta-GGA SCAN) on a PBEsol-optimized structure of WSe2F2.

a = 3.235 Å, b = 3.235 Å, c = 6.744 Å
α = 103.88°, β = 103.88°, γ = 90.00°
Fractional coordinates of all 5 atoms:
Se: 0.387 0.387 0.774
W: 0.000 0.000 0.000
F: 0.250 0.750 0.500
F: 0.750 0.250 0.500
Se: 0.613 0.613 0.226

- formation energy from raw total energies (meV/atom) = -230
- V (Å³/atom) = 13.28

***

Record 8
VASP calculation (meta-GGA SCAN) on a PBEsol-optimized structure of SiBAsBr2.

a = 4.536 Å, b = 4.536 Å, c = 4.526 Å
α = 90.00°, β = 90.00°, γ = 90.00°
Fractional coordinates of all 5 atoms:
As: 0.000 0.000 0.500
Br: 0.000 0.500 0.000
Br: 0.500 0.000 0.000
B: 0.000 0.000 0.000
Si: 0.500 0.500 0.500

- formation energy from raw total energies (meV/atom) = 1029
- V (Å³/atom) = 18.63

***

Record 9
VASP calculation (meta-GGA SCAN) on a PBEsol-optimized structure of Li2TlBr.

a = 5.306 Å, b = 5.306 Å, c = 5.306 Å
α = 60.00°, β = 60.00°, γ = 60.00°
Fractional coordinates of all 4 atoms:
Tl: 0.250 0.250 0.250
Li: 0.750 0.750 0.750
Br: 0.500 0.500 0.500
Li: 0.000 0.000 0.000

- formation energy from raw total energies (meV/atom) = -206
- offset from the most stable computed form (kJ/mol of formula units) = 212
- V (Å³/atom) = 26.41

***

Record 10
VASP calculation (meta-GGA SCAN) on a PBEsol-optimized structure of Li2SiRu.

a = 3.054 Å, b = 3.054 Å, c = 5.778 Å
α = 90.00°, β = 90.00°, γ = 90.00°
Fractional coordinates of all 4 atoms:
Ru: 0.500 0.500 0.531
Li: 0.500 0.500 0.992
Si: 0.000 0.000 0.712
Li: 0.000 0.000 0.265

- formation energy from raw total energies (meV/atom) = -313
- V (Å³/atom) = 13.48

***

Record 11
VASP calculation (meta-GGA SCAN) on a PBEsol-optimized structure of NiHgIr2.

a = 2.722 Å, b = 4.642 Å, c = 5.396 Å
α = 115.42°, β = 104.53°, γ = 90.18°
Fractional coordinates of all 4 atoms:
Hg: 0.000 0.500 0.000
Ni: 0.500 0.000 0.000
Ir: 0.000 0.000 0.500
Ir: 0.500 0.500 0.500

- ΔH_f (0 K) (eV/atom) = 0.489
- V (Å³/atom) = 14.78

***

Record 12
VASP calculation (meta-GGA SCAN) on a PBEsol-optimized structure of Y2OsPt.

a = 3.492 Å, b = 3.492 Å, c = 8.254 Å
α = 77.79°, β = 77.79°, γ = 60.00°
Fractional coordinates of all 4 atoms:
Os: 0.500 0.500 0.500
Y: 0.750 0.750 0.750
Pt: 0.000 0.000 0.000
Y: 0.250 0.250 0.250

- ΔH_f (0 K) (eV/atom) = -0.335
- V (Å³/atom) = 21.13

***

Record 13
VASP calculation (meta-GGA SCAN) on a PBEsol-optimized structure of InCu3Te.

a = 4.751 Å, b = 4.751 Å, c = 4.751 Å
α = 90.00°, β = 90.00°, γ = 90.00°
Fractional coordinates of all 5 atoms:
Cu: 0.000 0.500 0.000
Cu: 0.000 0.000 0.500
Cu: 0.500 0.000 0.000
In: 0.000 0.000 0.000
Te: 0.500 0.500 0.500

- formation energy from raw total energies (meV/atom) = 894
- V (Å³/atom) = 21.45

***

Record 14
VASP calculation (meta-GGA SCAN) on a PBEsol-optimized structure of TmAlNi4.

a = 3.965 Å, b = 4.799 Å, c = 4.799 Å
α = 118.70°, β = 90.00°, γ = 90.00°
Fractional coordinates of all 6 atoms:
Ni: 0.000 0.169 0.831
Ni: 0.500 0.000 0.500
Ni: 0.500 0.500 0.000
Ni: 0.000 0.831 0.169
Al: 0.500 0.000 0.000
Tm: 0.000 0.500 0.500

- offset from the most stable computed form (kJ/mol of formula units) = 0
- ΔH_f (0 K) (eV/atom) = -0.568
- V (Å³/atom) = 13.35

***

Record 15
VASP calculation (meta-GGA SCAN) on a PBEsol-optimized structure of SiTe2Au.

a = 3.925 Å, b = 4.019 Å, c = 5.923 Å
α = 90.00°, β = 90.00°, γ = 90.00°
Fractional coordinates of all 4 atoms:
Te: 0.000 0.000 0.000
Si: 0.500 0.000 0.500
Te: 0.000 0.500 0.500
Au: 0.500 0.500 0.000

- formation energy from raw total energies (meV/atom) = 476
- V (Å³/atom) = 23.36

***

Record 16
VASP calculation (meta-GGA SCAN) on a PBEsol-optimized structure of Li2BrCl.

a = 3.710 Å, b = 3.714 Å, c = 5.243 Å
α = 90.00°, β = 90.00°, γ = 90.01°
Fractional coordinates of all 4 atoms:
Cl: 0.125 0.875 0.500
Br: 0.626 0.375 0.000
Li: 0.125 0.874 0.000
Li: 0.624 0.376 0.500

- formation energy from raw total energies (meV/atom) = -1848
- offset from the most stable computed form (kJ/mol of formula units) = 4
- V (Å³/atom) = 18.06

***

Record 17
VASP calculation (meta-GGA SCAN) on a PBEsol-optimized structure of AlPtPb2.

a = 3.185 Å, b = 5.270 Å, c = 6.147 Å
α = 115.38°, β = 105.02°, γ = 90.00°
Fractional coordinates of all 4 atoms:
Pb: 0.783 0.283 0.567
Pb: 0.982 0.982 0.963
Pt: 0.529 0.529 0.059
Al: 0.206 0.706 0.411

- ΔH_f (0 K) (eV/atom) = -0.069
- V (Å³/atom) = 22.33

***

Record 18
VASP calculation (meta-GGA SCAN) on a PBEsol-optimized structure of NbH2Cl.

a = 3.801 Å, b = 3.801 Å, c = 3.801 Å
α = 60.00°, β = 60.00°, γ = 60.00°
Each line ends with the local moment (μB).
Fractional coordinates of all 4 atoms:
Cl: 0.000 0.000 0.000  -0.06
H: 0.750 0.750 0.750  -0.06
H: 0.250 0.250 0.250  -0.06
Nb: 0.500 0.500 0.500  1.55

- V (Å³/atom) = 9.71
- raw total energy (Ry per atom) = -0.8355

***

Record 19
VASP calculation (meta-GGA SCAN) on a PBEsol-optimized structure of FeCoRu.

a = 2.497 Å, b = 3.956 Å, c = 3.956 Å
α = 120.00°, β = 90.00°, γ = 90.00°
Each line ends with the local moment (μB).
Fractional coordinates of all 3 atoms:
Ru: 0.500 0.667 0.333  -0.56
Fe: 0.000 0.333 0.667  2.45
Co: 0.000 0.000 0.000  1.39

- ΔH_f (0 K) (eV/atom) = 0.215
- V (Å³/atom) = 11.28

***

Record 20
VASP calculation (meta-GGA SCAN) on a PBEsol-optimized structure of FeNiW.

a = 3.911 Å, b = 3.911 Å, c = 3.911 Å
α = 60.00°, β = 60.00°, γ = 60.00°
Each line ends with the local moment (μB).
Fractional coordinates of all 3 atoms:
Ni: 0.250 0.250 0.250  0.31
Fe: 0.500 0.500 0.500  3.05
W: 0.000 0.000 0.000  0.03

- offset from the most stable computed form (kJ/mol of formula units) = 0
- ΔH_f (0 K) (eV/atom) = 0.622
- V (Å³/atom) = 14.10

***

Record 21
VASP calculation (meta-GGA SCAN) on a PBEsol-optimized structure of ZrPtAu2.

a = 4.118 Å, b = 4.118 Å, c = 4.975 Å
α = 114.45°, β = 114.45°, γ = 90.00°
Fractional coordinates of all 4 atoms:
Pt: 0.000 0.000 0.000
Au: 0.750 0.250 0.500
Au: 0.500 0.500 0.000
Zr: 0.250 0.750 0.500

- ΔH_f (0 K) (eV/atom) = -0.745
- V (Å³/atom) = 17.10

***

Record 22
VASP calculation (meta-GGA SCAN) on a PBEsol-optimized structure of YMgAg.

a = 3.431 Å, b = 3.431 Å, c = 6.248 Å
α = 105.94°, β = 105.94°, γ = 90.00°
Fractional coordinates of all 3 atoms:
Mg: 0.358 0.358 0.716
Ag: 0.988 0.988 0.976
Y: 0.654 0.654 0.308

- ΔH_f (0 K) (eV/atom) = -0.241
- V (Å³/atom) = 22.59

***

Record 23
VASP calculation (meta-GGA SCAN) on a PBEsol-optimized structure of SrCrSN2.

a = 4.604 Å, b = 4.604 Å, c = 5.768 Å
α = 90.00°, β = 90.00°, γ = 90.00°
Each line ends with the local moment (μB).
Fractional coordinates of all 5 atoms:
N: 0.500 0.000 0.000  1.44
N: 0.000 0.500 0.000  1.44
S: 0.000 0.000 0.500  -0.01
Sr: 0.000 0.000 0.000  0.07
Cr: 0.500 0.500 0.500  4.22

- formation energy from raw total energies (meV/atom) = 1348
- V (Å³/atom) = 24.45

***

Record 24
VASP calculation (meta-GGA SCAN) on a PBEsol-optimized structure of ZrCd2B2.

a = 3.750 Å, b = 3.750 Å, c = 5.665 Å
α = 109.33°, β = 109.33°, γ = 90.00°
Fractional coordinates of all 5 atoms:
B: 0.582 0.582 0.164
B: 0.418 0.418 0.836
Cd: 0.750 0.250 0.500
Cd: 0.250 0.750 0.500
Zr: 0.000 0.000 0.000

- ΔH_f (0 K) (eV/atom) = 0.172
- V (Å³/atom) = 14.08

***

Record 25
VASP calculation (meta-GGA SCAN) on a PBEsol-optimized structure of LiTcSn2Pd.

a = 4.311 Å, b = 5.002 Å, c = 5.002 Å
α = 90.00°, β = 90.00°, γ = 90.00°
Each line ends with the local moment (μB).
Fractional coordinates of all 5 atoms:
Sn: 0.000 0.000 0.500  -0.04
Li: 0.500 0.000 0.000  0.00
Sn: 0.000 0.500 0.000  -0.04
Pd: 0.000 0.000 0.000  0.04
Tc: 0.500 0.500 0.500  3.33

- ΔH_f (0 K) (eV/atom) = 0.524
- V (Å³/atom) = 21.57

***

Record 26
VASP calculation (meta-GGA SCAN) on a PBEsol-optimized structure of K2SrTc.

a = 3.552 Å, b = 6.491 Å, c = 7.157 Å
α = 116.97°, β = 90.00°, γ = 90.00°
Each line ends with the local moment (μB).
Fractional coordinates of all 4 atoms:
Tc: 0.500 0.500 0.000  3.03
K: 0.000 0.000 0.500  -0.01
K: 0.000 0.500 0.500  -0.01
Sr: 0.500 0.000 0.000  -0.07

- offset from the most stable computed form (kJ/mol of formula units) = 122
- ΔH_f (0 K) (eV/atom) = 1.202
- V (Å³/atom) = 36.76

***

Record 27
VASP calculation (meta-GGA SCAN) on a PBEsol-optimized structure of CaMo2Br.

a = 3.011 Å, b = 3.011 Å, c = 9.639 Å
α = 81.01°, β = 81.01°, γ = 60.00°
Fractional coordinates of all 4 atoms:
Br: 0.500 0.500 0.500
Ca: 0.000 0.000 0.000
Mo: 0.240 0.240 0.279
Mo: 0.760 0.760 0.721

- formation energy from raw total energies (meV/atom) = 1032
- offset from the most stable computed form (kJ/mol of formula units) = 192
- V (Å³/atom) = 18.61

***

Record 28
VASP calculation (meta-GGA SCAN) on a PBEsol-optimized structure of TcRu2Br.

a = 2.820 Å, b = 2.820 Å, c = 8.661 Å
α = 80.63°, β = 80.63°, γ = 60.00°
Fractional coordinates of all 4 atoms:
Br: 0.000 0.000 0.000
Ru: 0.248 0.248 0.257
Tc: 0.500 0.500 0.500
Ru: 0.752 0.752 0.743

- formation energy from raw total energies (meV/atom) = 597
- offset from the most stable computed form (kJ/mol of formula units) = 0
- V (Å³/atom) = 14.65

***

Record 29
VASP calculation (meta-GGA SCAN) on a PBEsol-optimized structure of CdReP.

a = 4.214 Å, b = 4.214 Å, c = 4.214 Å
α = 60.00°, β = 60.00°, γ = 60.00°
Fractional coordinates of all 3 atoms:
Re: 0.250 0.250 0.250
Cd: 0.000 0.000 0.000
P: 0.500 0.500 0.500

- offset from the most stable computed form (kJ/mol of formula units) = 199
- ΔH_f (0 K) (eV/atom) = 0.789
- V (Å³/atom) = 17.64

***

Record 30
VASP calculation (meta-GGA SCAN) on a PBEsol-optimized structure of BaTa2Cu.

a = 3.371 Å, b = 3.371 Å, c = 7.848 Å
α = 90.00°, β = 90.00°, γ = 90.00°
Fractional coordinates of all 4 atoms:
Ba: 0.000 0.000 0.480
Ta: 0.000 0.000 0.008
Cu: 0.500 0.500 0.176
Ta: 0.500 0.500 0.836

- ΔH_f (0 K) (eV/atom) = 0.539
- V (Å³/atom) = 22.29